Density functional theory data (GGA-PBE) for crystalline CaH3Rh at its relaxed geometry.

Output
Its theoretical density is 3.91 g/cm3. For the total energy, the calculation gives -19.678 eV per cell. The size of the total moment is 0.0000 μB/atom.

a = 3.974 Å, b = 3.974 Å, c = 3.974 Å
α = 95.11°, β = 95.11°, γ = 95.11°
Atoms (fractional coordinates):
H (0.685, 0.685, 0.048)
H (0.685, 0.048, 0.685)
H (0.048, 0.685, 0.685)
Ca (0.489, 0.489, 0.489)
Rh (0.968, 0.968, 0.968)